# 1
Compound: Ce3GaSi3
Source: Alexandria
Functional: GGA-PBE
Structure: optimized geometry

## Properties
volume	22.4	Å³/atom
raw total energy	-41.58	eV per formula unit
formation energy without anion corrections	-62	kJ/mol of atoms
space group	Imm2, No. 44
N(E_F)	14.63	states/eV per cell

Cell and atoms, written as POSCAR:
```
Ce3GaSi3
1.0
3.892 0.000 -0.849
-0.213 4.210 -0.978
0.045 -0.004 9.549
Ce Ga Si
3 1 3
Cartesian
1.072 3.420 4.914
2.640 0.774 2.757
0.013 0.014 0.059
1.638 1.827 7.509
0.425 2.698 1.949
3.290 1.499 5.736
2.091 2.386 0.241
```

# 2
Compound: Ce3Ga2Si4
Source: Alexandria
Functional: GGA-PBE
Structure: optimized geometry

## Properties
volume	20.3	Å³/atom
raw total energy	-50.53	eV per formula unit
formation energy without anion corrections	-53	kJ/mol of atoms
space group	C2/m, No. 12
N(E_F)	13.78	states/eV per cell

Cell and atoms, written as POSCAR:
```
Ce3Ga2Si4
1.0
-0.237 -3.618 -1.918
5.661 1.542 0.777
-3.229 -3.609 7.205
Ce Ga Si
3 2 4
Cartesian
-1.015 -4.340 3.926
0.000 0.000 0.000
3.210 -1.344 2.138
0.778 -3.022 1.219
1.418 -2.662 4.846
2.211 -2.122 -0.656
-0.015 -3.562 6.721
2.415 -4.186 3.211
-0.220 -1.499 2.854
```

# 3
Compound: Ce8Ga2Si
Source: Alexandria
Functional: GGA-PBE
Structure: optimized geometry

## Properties
volume	25.3	Å³/atom
raw total energy	-61.63	eV per formula unit
formation energy without anion corrections	-24	kJ/mol of atoms
space group	C2/m, No. 12
N(E_F)	33.13	states/eV per cell

Cell and atoms, written as POSCAR:
```
Ce8Ga2Si
1.0
-1.300 -0.079 -4.789
6.351 -2.082 -1.690
-3.901 -7.002 3.747
Ce Ga Si
8 2 1
Cartesian
-0.183 -6.960 0.165
3.879 -4.400 -3.552
1.342 -5.443 -2.846
1.488 -0.630 -0.394
-0.193 -3.720 0.114
-2.729 -4.764 0.820
1.332 -2.203 -2.897
-0.338 -8.533 -2.339
-1.676 -5.411 -2.027
2.826 -3.752 -0.705
-0.650 -0.040 -2.394
```

# 4
Compound: Ce8Ga3Si2
Source: Alexandria
Functional: GGA-PBE
Structure: optimized geometry

## Properties
volume	24.0	Å³/atom
raw total energy	-71.70	eV per formula unit
formation energy without anion corrections	-32	kJ/mol of atoms
space group	C2/m, No. 12
N(E_F)	34.32	states/eV per cell

Cell and atoms, written as POSCAR:
```
Ce8Ga3Si2
1.0
4.128 0.000 1.324
0.000 9.821 0.000
-0.758 -4.910 7.441
Ce Ga Si
8 3 2
Cartesian
0.828 4.910 1.299
2.542 0.000 7.465
3.646 0.000 3.572
-0.275 4.910 5.193
2.070 2.559 6.009
2.070 -2.559 6.009
1.300 7.469 2.756
1.300 2.352 2.756
2.064 0.000 0.662
0.000 2.140 0.000
0.000 7.681 0.000
1.034 0.000 4.810
2.336 4.910 3.955
```

# 5
Compound: Ce5GaSi2
Source: Alexandria
Functional: GGA-PBE
Structure: optimized geometry

## Properties
volume	24.7	Å³/atom
raw total energy	-46.68	eV per formula unit
formation energy without anion corrections	-38	kJ/mol of atoms
space group	Cmcm, No. 63
N(E_F)	42.99	states/eV per cell

Cell and atoms, written as POSCAR:
```
Ce5GaSi2
1.0
-4.963 -1.296 -0.404
3.013 0.034 -4.356
3.941 -15.906 2.603
Ce Ga Si
10 2 4
Cartesian
1.487 -15.419 -1.580
0.327 -10.737 -2.346
2.146 -7.328 -2.858
0.750 -1.696 -3.780
-1.214 -4.951 -1.976
3.204 -12.217 -0.180
-0.155 -9.841 0.702
1.240 -15.473 1.624
0.504 -1.749 -0.576
1.664 -6.431 0.190
0.540 -12.654 1.181
1.450 -4.514 -3.337
-0.507 -7.802 -1.518
-1.919 -2.103 -2.451
2.497 -9.366 -0.638
3.909 -15.066 0.294
```

# 6
Compound: CeGaSi
Source: Alexandria
Functional: GGA-PBE
Structure: optimized geometry

## Properties
volume	21.0	Å³/atom
raw total energy	-16.26	eV per formula unit
formation energy without anion corrections	-60	kJ/mol of atoms
space group	P-6m2, No. 187
N(E_F)	4.73	states/eV per cell

Cell and atoms, written as POSCAR:
```
CeGaSi
1.0
4.197 0.000 0.000
0.000 4.160 0.000
0.000 -2.080 3.603
Si Ga Ce
1 1 1
Cartesian
0.700 0.000 0.000
0.699 0.000 2.402
2.798 2.080 1.201
```

# 7
Compound: CeGaSi
Source: Alexandria
Functional: GGA-PBE
Structure: optimized geometry

## Properties
volume	21.6	Å³/atom
raw total energy	-15.13	eV per formula unit
formation energy without anion corrections	-24	kJ/mol of atoms
space group	P6_222, No. 180
N(E_F)	31.46	states/eV per cell

Cell and atoms, written as POSCAR:
```
CeGaSi
1.0
6.203 0.000 0.000
-3.102 5.372 0.000
0.000 0.000 11.671
Ce Si Ga
6 6 6
Cartesian
3.102 0.000 7.781
0.000 0.000 5.836
0.000 0.000 9.726
0.000 0.000 1.945
1.551 2.686 0.000
-1.551 2.686 3.890
0.000 4.187 1.945
3.626 2.093 9.726
2.577 2.094 5.836
3.102 1.185 1.945
0.524 3.279 5.836
-0.524 3.279 9.726
1.551 2.686 3.361
-1.551 2.686 7.251
1.551 2.686 8.310
-1.551 2.686 0.530
3.102 0.000 11.142
3.102 0.000 4.420
```

# 8
Compound: Ce4GaSi2
Source: Alexandria
Functional: GGA-PBE
Structure: optimized geometry

## Properties
volume	26.2	Å³/atom
raw total energy	-39.89	eV per formula unit
formation energy without anion corrections	-31	kJ/mol of atoms
space group	R-3m, No. 166
N(E_F)	18.43	states/eV per cell

Cell and atoms, written as POSCAR:
```
Ce4GaSi2
1.0
-2.749 1.993 3.071
-4.445 -1.088 0.139
-0.385 -7.082 7.663
Ce Ga Si
4 1 2
Cartesian
-3.093 -5.645 7.719
-1.549 -2.814 3.852
-6.031 -3.364 7.021
-4.487 -0.533 3.154
0.000 0.000 0.000
-0.951 -5.008 5.811
-6.629 -1.170 5.063
```

# 9
Compound: CeGa2Si
Source: Alexandria
Functional: GGA-PBE
Structure: optimized geometry

## Properties
volume	21.9	Å³/atom
raw total energy	-17.68	eV per formula unit
formation energy without anion corrections	-7	kJ/mol of atoms
space group	R-3m, No. 166
N(E_F)	17.74	states/eV per cell

Cell and atoms, written as POSCAR:
```
CeGa2Si
1.0
-4.747 -1.254 4.270
-0.637 -5.178 -3.888
5.146 -1.894 3.503
Ce Ga Si
3 6 3
Cartesian
-0.075 -2.615 1.220
-0.163 -5.711 2.665
0.000 0.000 0.000
1.412 -3.294 3.899
-2.737 -3.994 2.146
0.969 -5.202 -0.217
-1.649 -5.032 -0.014
-1.207 -3.124 4.102
2.500 -4.332 1.740
2.573 -0.947 1.752
-0.318 -2.589 -1.944
-2.373 -0.627 2.135
```

# 10
Compound: Ce6GaSi2
Source: Alexandria
Functional: GGA-PBE
Structure: optimized geometry

## Properties
volume	25.1	Å³/atom
raw total energy	-53.34	eV per formula unit
formation energy without anion corrections	-41	kJ/mol of atoms
space group	P-62m, No. 189
N(E_F)	21.93	states/eV per cell

Cell and atoms, written as POSCAR:
```
Ce6GaSi2
1.0
-1.923 -3.659 0.013
6.533 -3.445 -2.927
-1.013 0.562 7.859
Ce Ga Si
6 1 2
Cartesian
2.610 -3.713 -1.594
1.539 -3.136 2.241
5.017 -4.967 1.379
1.780 -0.939 -0.797
4.017 -2.099 3.590
6.257 -3.292 -0.788
-0.960 -1.830 0.006
1.502 -0.774 4.263
4.018 -2.110 0.669
```

# 11
Compound: CeGaSi
Source: Alexandria
Functional: GGA-PBE
Structure: optimized geometry

## Properties
volume	20.9	Å³/atom
raw total energy	-16.26	eV per formula unit
formation energy without anion corrections	-60	kJ/mol of atoms
space group	P6_3/mmc, No. 194
N(E_F)	9.22	states/eV per cell

Cell and atoms, written as POSCAR:
```
CeGaSi
1.0
4.159 -0.001 0.000
-2.079 3.603 0.000
0.000 0.000 8.388
Ce Ga Si
2 2 2
Cartesian
-1.039 1.801 4.194
-1.039 1.801 0.000
1.040 3.002 6.291
1.041 0.600 2.097
1.039 0.601 6.291
1.041 3.001 2.097
```

# 12
Compound: Ce3GaSi
Source: Alexandria
Functional: GGA-PBE
Structure: optimized geometry

## Properties
volume	26.6	Å³/atom
raw total energy	-26.52	eV per formula unit
formation energy without anion corrections	-5	kJ/mol of atoms
space group	Cmmm, No. 65
N(E_F)	22.14	states/eV per cell

Cell and atoms, written as POSCAR:
```
Ce3GaSi
1.0
4.367 0.000 0.000
0.000 7.798 0.000
0.000 -3.899 7.812
Ce Ga Si
6 2 2
Cartesian
2.183 2.604 0.000
0.000 3.899 4.936
2.183 5.195 0.000
2.183 1.950 3.906
0.000 0.000 2.876
2.183 -1.950 3.906
2.183 0.000 1.233
2.183 3.899 6.579
0.000 3.899 2.038
0.000 0.000 5.774
```

# 13
Compound: Ce7GaSi3
Source: Alexandria
Functional: GGA-PBE
Structure: optimized geometry

## Properties
volume	25.3	Å³/atom
raw total energy	-64.91	eV per formula unit
formation energy without anion corrections	-36	kJ/mol of atoms
space group	Immm, No. 71
N(E_F)	30.30	states/eV per cell

Cell and atoms, written as POSCAR:
```
Ce7GaSi3
1.0
-5.476 0.302 -1.206
3.730 -4.451 -4.994
1.320 -4.730 5.878
Ce Ga Si
7 1 3
Cartesian
-0.066 -1.392 -0.050
-0.778 -3.127 2.736
-0.910 -5.899 2.636
0.484 -2.981 -2.958
2.525 -4.590 0.442
0.353 -5.752 -3.059
-0.360 -7.488 -0.272
-0.213 -4.440 -0.161
3.160 -4.517 -2.423
-2.738 0.151 -0.603
1.890 -4.664 3.307
```

# 14
Compound: Ce3GaSi2
Source: Alexandria
Functional: GGA-PBE
Structure: optimized geometry

## Properties
volume	22.4	Å³/atom
raw total energy	-34.95	eV per formula unit
formation energy without anion corrections	-53	kJ/mol of atoms
space group	Pnma, No. 62
N(E_F)	52.10	states/eV per cell

Cell and atoms, written as POSCAR:
```
Ce3GaSi2
1.0
4.097 0.000 0.000
0.000 10.781 0.000
0.000 0.000 12.198
Ce Ga Si
12 4 8
Cartesian
1.024 4.402 0.510
3.072 6.380 11.688
3.072 9.792 5.589
1.024 0.989 6.608
1.024 7.911 2.581
3.072 2.870 9.617
3.072 2.520 3.518
1.024 8.261 8.680
1.024 4.579 4.578
3.072 6.202 7.619
3.072 9.970 1.521
1.024 0.811 10.677
1.024 1.463 1.528
3.072 9.318 10.670
3.072 6.854 4.571
1.024 3.928 7.627
1.024 7.577 5.782
3.072 3.205 6.416
3.072 2.186 0.317
1.024 8.595 11.881
1.024 0.133 3.647
3.072 10.648 8.551
3.072 5.524 2.452
1.024 5.257 9.746
```

# 15
Compound: Ce6GaSi3
Source: Alexandria
Functional: GGA-PBE
Structure: optimized geometry

## Properties
volume	25.6	Å³/atom
raw total energy	-58.04	eV per formula unit
formation energy without anion corrections	-30	kJ/mol of atoms
space group	P2_1/c, No. 14
N(E_F)	50.46	states/eV per cell

Cell and atoms, written as POSCAR:
```
Ce6GaSi3
1.0
-1.386 -2.085 -7.022
7.804 -1.524 -1.088
-1.143 -7.967 2.962
Ce Ga Si
12 2 6
Cartesian
-0.567 -8.975 -2.014
-0.288 -6.330 -3.193
1.769 -4.111 -4.897
3.505 -7.465 -0.250
5.562 -5.246 -1.954
5.841 -2.601 -3.133
1.825 -4.169 -0.141
2.243 -1.552 -1.340
-0.363 -6.611 0.409
5.637 -4.965 -5.556
3.031 -10.024 -3.808
3.449 -7.407 -5.006
2.637 -5.788 -2.574
0.000 0.000 0.000
5.159 -8.309 -2.531
3.209 -1.805 -4.055
0.115 -3.268 -2.616
4.636 -2.934 -0.252
-0.572 -3.983 1.481
0.638 -8.643 -4.895
```

# 16
Compound: Ce5GaSi2
Source: Alexandria
Functional: GGA-PBE
Structure: optimized geometry

## Properties
volume	24.6	Å³/atom
raw total energy	-47.42	eV per formula unit
formation energy without anion corrections	-47	kJ/mol of atoms
space group	I4/mcm, No. 140
N(E_F)	44.13	states/eV per cell

Cell and atoms, written as POSCAR:
```
Ce5GaSi2
1.0
7.023 0.000 -3.315
-1.565 6.847 -3.315
-0.277 -0.347 8.510
Ce Ga Si
10 2 4
Cartesian
2.467 4.333 1.957
4.236 6.552 -3.393
0.000 0.000 0.000
2.729 3.423 -3.315
0.945 -0.053 5.272
4.237 0.910 3.148
-0.825 3.371 4.081
0.944 5.589 -1.269
6.006 3.129 -2.201
2.714 2.166 -0.077
3.955 4.961 -0.718
1.226 1.538 2.597
0.197 2.642 -1.658
4.134 0.781 -2.414
1.324 6.066 -4.217
5.261 4.204 -4.973
```

# 17
Compound: Ce7GaSi5
Source: Alexandria
Functional: GGA-PBE
Structure: optimized geometry

## Properties
volume	23.9	Å³/atom
raw total energy	-77.06	eV per formula unit
formation energy without anion corrections	-40	kJ/mol of atoms
space group	Imm2, No. 44
N(E_F)	28.20	states/eV per cell

Cell and atoms, written as POSCAR:
```
Ce7GaSi5
1.0
5.867 0.000 0.000
2.933 7.274 -0.146
2.933 -0.169 7.274
Ce Ga Si
7 1 5
Cartesian
5.867 2.235 2.242
5.867 5.071 5.087
8.800 2.296 5.151
8.800 5.143 2.313
2.933 1.359 1.363
5.867 5.876 0.906
5.867 0.887 5.878
5.867 0.077 0.077
4.172 0.015 3.656
1.695 0.015 3.656
4.172 3.656 0.027
1.695 3.656 0.027
8.800 5.239 5.256
```

# 18
Compound: CeGa2Si
Source: Alexandria
Functional: GGA-PBE
Structure: optimized geometry

## Properties
volume	19.7	Å³/atom
raw total energy	-19.25	eV per formula unit
formation energy without anion corrections	-44	kJ/mol of atoms
space group	P4/mmm, No. 123
N(E_F)	4.65	states/eV per cell

Cell and atoms, written as POSCAR:
```
CeGa2Si
1.0
4.430 0.000 0.000
0.000 4.218 0.000
0.000 0.000 4.218
Si Ga Ce
1 2 1
Cartesian
2.215 0.000 0.000
0.000 0.000 2.109
0.000 2.109 0.000
2.215 2.109 2.109
```

# 19
Compound: Ce2Sm2GaSi4
Source: Alexandria
Functional: GGA-PBE
Structure: optimized geometry

## Properties
volume	23.3	Å³/atom
raw total energy	-47.51	eV per formula unit
formation energy without anion corrections	-16	kJ/mol of atoms
space group	I4/mmm, No. 139
N(E_F)	12.38	states/eV per cell

Cell and atoms, written as POSCAR:
```
Ce2Sm2GaSi4
1.0
6.522 0.217 0.313
-2.940 5.826 -0.313
-2.940 -2.340 5.344
Ce Sm Ga Si
2 2 1 4
Cartesian
-3.948 2.340 3.377
-1.933 1.146 1.654
0.321 3.893 1.258
0.321 -0.190 4.086
0.000 0.000 0.000
-2.940 3.829 1.070
-1.110 2.744 3.961
-2.940 -0.344 3.961
1.751 0.958 1.383
```

# 20
Compound: Ce2Th2GaSi4
Source: Alexandria
Functional: GGA-PBE
Structure: optimized geometry

## Properties
volume	23.1	Å³/atom
raw total energy	-52.78	eV per formula unit
formation energy without anion corrections	-14	kJ/mol of atoms
space group	I4/mmm, No. 139
N(E_F)	13.16	states/eV per cell

Cell and atoms, written as POSCAR:
```
Ce2Th2GaSi4
1.0
-5.479 -3.118 -1.630
4.977 -3.898 1.558
-0.398 3.499 5.476
Ce Th Ga Si
2 2 1 4
Cartesian
3.062 -0.266 4.704
1.517 -0.132 2.331
0.894 -3.608 1.723
-1.794 0.091 3.682
0.000 0.000 0.000
3.665 -2.091 2.515
0.658 -1.897 4.483
0.914 1.693 4.520
-1.557 -1.620 0.922
```

# 21
Compound: CeTmGaSi
Source: Alexandria
Functional: GGA-PBE
Structure: optimized geometry

## Properties
volume	23.2	Å³/atom
raw total energy	-21.37	eV per formula unit
formation energy without anion corrections	-61	kJ/mol of atoms
space group	Amm2, No. 38
N(E_F)	6.41	states/eV per cell

Cell and atoms, written as POSCAR:
```
CeTmGaSi
1.0
4.317 0.000 0.000
0.000 3.970 0.000
-2.158 0.000 5.409
Ce Tm Ga Si
1 1 1 1
Cartesian
2.158 1.985 3.856
0.000 0.000 1.500
0.000 0.000 4.636
2.158 1.985 0.825
```

# 22
Compound: CeTmGaSi
Source: Alexandria
Functional: GGA-PBE
Structure: optimized geometry

## Properties
volume	22.4	Å³/atom
raw total energy	-20.80	eV per formula unit
formation energy without anion corrections	-47	kJ/mol of atoms
space group	F-43m, No. 216
N(E_F)	5.87	states/eV per cell

Cell and atoms, written as POSCAR:
```
CeTmGaSi
1.0
-1.965 -3.422 -3.107
-0.620 -4.737 1.550
-4.620 -1.786 0.830
Si Tm Ga Ce
1 1 1 1
Cartesian
-5.404 -7.458 -0.546
0.000 0.000 0.000
-1.801 -2.486 -0.182
-3.603 -4.972 -0.364
```